Entry 1:
# MoPdSCl2 PBE relaxed
# * relative energy among the computed polymorphs: 0.401 eV per atom
# * formation energy from raw total energies: 0.562 eV per atom
# * DFT total energy: -4.2067 eV per atom
# * DOS(E_F): 4.247 states/eV/cell
data_MoPdSCl2
_cell_length_a 4.7488
_cell_length_b 4.7488
_cell_length_c 4.8852
_cell_angle_alpha 90.00
_cell_angle_beta 90.00
_cell_angle_gamma 90.00
_symmetry_space_group_name_H-M 'P 4/m m m'
_symmetry_Int_Tables_number 123
_symmetry_space_group_name_Hall '-P 4 2'
loop_
_atom_site_label
_atom_site_type_symbol
_atom_site_fract_x
_atom_site_fract_y
_atom_site_fract_z
Mo1 Mo 0.0000 0.0000 0.0000
Pd1 Pd 0.5000 0.5000 0.5000
S1 S 0.5000 0.5000 0.0000
Cl1 Cl 0.0000 0.5000 0.5000

---

Entry 2:
# NaSmErCd PBE relaxed
# * energy of formation from the pure elements: 16 kJ/mol of formula units
# * DFT total energy: -2.8386 eV per atom
# * DOS(E_F): 22.537 states/eV/cell
data_NaSmErCd
_cell_length_a 7.6702
_cell_length_b 7.6702
_cell_length_c 7.6702
_cell_angle_alpha 90.00
_cell_angle_beta 90.00
_cell_angle_gamma 90.00
_symmetry_space_group_name_H-M 'F -4 3 m'
_symmetry_Int_Tables_number 216
_symmetry_space_group_name_Hall 'F -4 2 3'
loop_
_atom_site_label
_atom_site_type_symbol
_atom_site_fract_x
_atom_site_fract_y
_atom_site_fract_z
Na1 Na 0.0000 0.0000 0.0000
Sm1 Sm 0.2500 0.2500 0.2500
Er1 Er 0.2500 0.2500 0.7500
Cd1 Cd 0.0000 0.0000 0.5000

---

Entry 3:
# YReAg2 PBE relaxed
# * energy of formation from the pure elements: 242 kJ/mol of formula units
# * relative energy among the computed polymorphs: 0.242 eV per atom
# * DFT total energy: -5.5274 eV per atom
# * DOS(E_F): 13.641 states/eV/cell
data_YReAg2
_cell_length_a 2.9361
_cell_length_b 2.9361
_cell_length_c 30.4289
_cell_angle_alpha 90.00
_cell_angle_beta 90.00
_cell_angle_gamma 120.00
_symmetry_space_group_name_H-M 'R -3 m'
_symmetry_Int_Tables_number 166
_symmetry_space_group_name_Hall '-R 3 2"'
loop_
_atom_site_label
_atom_site_type_symbol
_atom_site_fract_x
_atom_site_fract_y
_atom_site_fract_z
Y1 Y 0.0000 0.0000 0.0000
Re1 Re 0.0000 0.0000 0.5000
Ag1 Ag 0.0000 0.0000 0.2441

---

Entry 4:
# Y3MgBr PBE relaxed
# * relative energy among the computed polymorphs: 0.000 eV per atom
# * formation energy from raw total energies: -0.173 eV per atom
# * DFT total energy: -4.7050 eV per atom
# * DOS(E_F): 2.650 states/eV/cell
data_Y3MgBr
_cell_length_a 5.3695
_cell_length_b 5.3695
_cell_length_c 5.3695
_cell_angle_alpha 90.00
_cell_angle_beta 90.00
_cell_angle_gamma 90.00
_symmetry_space_group_name_H-M 'P m -3 m'
_symmetry_Int_Tables_number 221
_symmetry_space_group_name_Hall '-P 4 2 3'
loop_
_atom_site_label
_atom_site_type_symbol
_atom_site_fract_x
_atom_site_fract_y
_atom_site_fract_z
Y1 Y 0.0000 0.0000 0.5000
Mg1 Mg 0.5000 0.5000 0.5000
Br1 Br 0.0000 0.0000 0.0000

---

Entry 5:
# DyThNiRu PBE relaxed
# * energy of formation from the pure elements: -145 kJ/mol of formula units
# * relative energy among the computed polymorphs: 0.108 eV per atom
# * DFT total energy: -7.1453 eV per atom
# * DOS(E_F): 13.631 states/eV/cell
data_DyThNiRu
_cell_length_a 6.9349
_cell_length_b 6.9349
_cell_length_c 6.9349
_cell_angle_alpha 90.00
_cell_angle_beta 90.00
_cell_angle_gamma 90.00
_symmetry_space_group_name_H-M 'F -4 3 m'
_symmetry_Int_Tables_number 216
_symmetry_space_group_name_Hall 'F -4 2 3'
loop_
_atom_site_label
_atom_site_type_symbol
_atom_site_fract_x
_atom_site_fract_y
_atom_site_fract_z
Dy1 Dy 0.0000 0.0000 0.0000
Th1 Th 0.0000 0.0000 0.5000
Ni1 Ni 0.2500 0.2500 0.7500
Ru1 Ru 0.2500 0.2500 0.2500

---

Entry 6:
# Sr3Sn3Au8 PBE relaxed
# * energy of formation from the pure elements: -707 kJ/mol of formula units
# * relative energy among the computed polymorphs: 0.041 eV per atom
# * DFT total energy: -3.6143 eV per atom
# * DOS(E_F): 14.351 states/eV/cell
data_Sr3Sn3Au8
_cell_length_a 4.7950
_cell_length_b 9.9927
_cell_length_c 14.2657
_cell_angle_alpha 90.00
_cell_angle_beta 90.00
_cell_angle_gamma 90.00
_symmetry_space_group_name_H-M 'I m m m'
_symmetry_Int_Tables_number 71
_symmetry_space_group_name_Hall '-I 2 2'
loop_
_atom_site_label
_atom_site_type_symbol
_atom_site_fract_x
_atom_site_fract_y
_atom_site_fract_z
Sr1 Sr 0.0000 0.0000 0.0000
Sr2 Sr 0.0000 0.0000 0.2902
Sn1 Sn 0.0000 0.2112 0.5000
Sn2 Sn 0.0000 0.5000 0.0000
Au1 Au 0.0000 0.2914 0.1392
Au2 Au 0.0000 0.3611 0.3360

---

Entry 7:
# NaCaZnPt PBE relaxed
# * energy of formation from the pure elements: -143 kJ/mol of formula units
# * DFT total energy: -3.0282 eV per atom
# * DOS(E_F): 5.667 states/eV/cell
data_NaCaZnPt
_cell_length_a 6.8402
_cell_length_b 6.8402
_cell_length_c 6.8402
_cell_angle_alpha 90.00
_cell_angle_beta 90.00
_cell_angle_gamma 90.00
_symmetry_space_group_name_H-M 'F -4 3 m'
_symmetry_Int_Tables_number 216
_symmetry_space_group_name_Hall 'F -4 2 3'
loop_
_atom_site_label
_atom_site_type_symbol
_atom_site_fract_x
_atom_site_fract_y
_atom_site_fract_z
Na1 Na 0.0000 0.0000 0.0000
Ca1 Ca 0.2500 0.2500 0.7500
Zn1 Zn 0.2500 0.2500 0.2500
Pt1 Pt 0.0000 0.0000 0.5000

---

Entry 8:
# YHf PBE relaxed
# * energy of formation from the pure elements: 491 kJ/mol of formula units
# * DFT total energy: -5.6622 eV per atom
# * DOS(E_F): 26.616 states/eV/cell
data_YHf
_cell_length_a 8.3242
_cell_length_b 8.3242
_cell_length_c 8.3242
_cell_angle_alpha 90.00
_cell_angle_beta 90.00
_cell_angle_gamma 90.00
_symmetry_space_group_name_H-M 'P m -3 n'
_symmetry_Int_Tables_number 223
_symmetry_space_group_name_Hall '-P 4n 2 3'
loop_
_atom_site_label
_atom_site_type_symbol
_atom_site_fract_x
_atom_site_fract_y
_atom_site_fract_z
Y1 Y 0.0000 0.2500 0.5000
Hf1 Hf 0.0000 0.5000 0.2500

---

Entry 9:
# KPuGeI6 PBE relaxed
# * formation energy from raw total energies: -0.901 eV per atom
# * DFT total energy: -4.1618 eV per atom
# * DOS(E_F): 29.711 states/eV/cell
data_KPuGeI6
_cell_length_a 7.9508
_cell_length_b 7.9508
_cell_length_c 15.4601
_cell_angle_alpha 90.00
_cell_angle_beta 90.00
_cell_angle_gamma 120.00
_symmetry_space_group_name_H-M 'P -3 1 c'
_symmetry_Int_Tables_number 163
_symmetry_space_group_name_Hall '-P 3 2c'
loop_
_atom_site_label
_atom_site_type_symbol
_atom_site_fract_x
_atom_site_fract_y
_atom_site_fract_z
K1 K 0.0000 0.0000 0.0000
Pu1 Pu 0.3333 0.6667 0.2500
Ge1 Ge 0.3333 0.6667 0.7500
I1 I 0.0076 0.3712 0.6371

---

Entry 10:
# ThMgZn5Cu2 PBE relaxed
# * energy of formation from the pure elements: 5 kJ/mol of formula units
# * DFT total energy: -2.6144 eV per atom
# * DOS(E_F): 4.394 states/eV/cell
data_ThMgZn5Cu2
_cell_length_a 4.7089
_cell_length_b 4.7089
_cell_length_c 7.3319
_cell_angle_alpha 90.00
_cell_angle_beta 90.00
_cell_angle_gamma 90.00
_symmetry_space_group_name_H-M 'P 4/m m m'
_symmetry_Int_Tables_number 123
_symmetry_space_group_name_Hall '-P 4 2'
loop_
_atom_site_label
_atom_site_type_symbol
_atom_site_fract_x
_atom_site_fract_y
_atom_site_fract_z
Th1 Th 0.0000 0.0000 0.0000
Mg1 Mg 0.0000 0.0000 0.5000
Zn1 Zn 0.0000 0.5000 0.2719
Zn2 Zn 0.5000 0.5000 0.0000
Cu1 Cu 0.5000 0.5000 0.3361